No. 1
# Sb2IrRh | Alexandria via LeMat-Bulk | GGA-PBE | relaxed
data_Sb2IrRh
_cell_length_a 8.277
_cell_length_b 3.245
_cell_length_c 5.723
_cell_angle_alpha 90.00
_cell_angle_beta 103.08
_cell_angle_gamma 90.00
_symmetry_space_group_name_H-M 'C 1 2/m 1'
_symmetry_Int_Tables_number 12
loop_
_symmetry_equiv_pos_as_xyz
'x,y,z'
'-x,-y,-z'
'-x,y,-z'
'x,-y,z'
'x+1/2,y+1/2,z'
'-x+1/2,-y+1/2,-z'
'-x+1/2,y+1/2,-z'
'x+1/2,-y+1/2,z'
loop_
_atom_site_label
_atom_site_type_symbol
_atom_site_fract_x
_atom_site_fract_y
_atom_site_fract_z
Sb1 Sb 0.250 0.000 0.250
Ir1 Ir 0.000 0.000 0.500
Rh1 Rh 0.000 0.500 0.000
# E_form (uncorrected) = 0.001 eV/atom

---

No. 2
# LiTbHg | Alexandria via LeMat-Bulk | GGA-PBE | relaxed
data_LiTbHg
_cell_length_a 3.660
_cell_length_b 3.661
_cell_length_c 10.479
_cell_angle_alpha 90.00
_cell_angle_beta 90.08
_cell_angle_gamma 90.00
_symmetry_space_group_name_H-M 'P 1 21/m 1'
_symmetry_Int_Tables_number 11
loop_
_symmetry_equiv_pos_as_xyz
'x,y,z'
'-x,-y,-z'
'-x,y+1/2,-z'
'x,-y+1/2,z'
loop_
_atom_site_label
_atom_site_type_symbol
_atom_site_fract_x
_atom_site_fract_y
_atom_site_fract_z
Li1 Li 0.250 0.250 0.070
Tb1 Tb 0.249 0.250 0.386
Hg1 Hg 0.251 0.250 0.793
# Formation energy = -0.29 eV/atom

---

no.,energy relative to the lowest polymorph listed for this composition (kJ per mole of atoms),D(E_F) (states/eV/cell)
1,19.61,6.11
2,6.69,5.44